Record 1
18
Lattice="5.759 -0.058 0.512 0.444 8.296 2.734 -0.175 -0.128 8.744" Properties=species:S:1:pos:R:3 comment="PBE Na3In2Au4, relaxed" energy_ev_per_cell=-49.8 e_above_lowest_polymorph_ev_per_fu=0.18 total_magnetization_mub_per_fu=0.00 mass_density_g_cm3=8.6 delta_e_f_ev_per_atom=-0.2638 vol_a3_per_atom=23.37 pbc="T T T"
Na 5.479 8.121 10.191
Na 3.551 1.616 0.874
Na 0.550 -0.010 1.799
Na 2.478 6.495 11.116
Na 1.624 4.747 5.384
Na 4.405 3.364 6.606
In 2.498 6.869 7.748
In 0.800 3.285 2.549
In 3.531 1.242 4.242
In 5.229 4.826 9.441
Au 2.198 0.913 6.758
Au 0.588 2.279 8.506
Au 3.831 7.197 5.232
Au 5.441 5.832 3.484
Au 5.539 6.763 7.472
Au 3.548 3.747 3.041
Au 0.490 1.348 4.517
Au 2.481 4.363 8.949

Record 2
8
Lattice="-4.777 3.030 1.144 -3.549 -4.456 -0.927 4.553 -0.732 5.349" Properties=species:S:1:pos:R:3 comment="PBE LaHoTh2Rh4, relaxed" energy_ev_per_cell=-60.0 total_magnetization_mub_per_fu=0.00 mass_density_g_cm3=10.4 delta_e_f_ev_per_atom=-0.7871 vol_a3_per_atom=23.50 pbc="T T T"
La -7.757 -1.329 0.202
Ho -4.176 -0.715 0.109
Th -0.847 -2.825 2.247
Th -1.461 0.918 3.282
Rh -1.531 -1.800 -0.367
Rh -2.021 1.191 0.460
Rh 0.987 -0.645 2.920
Rh -3.206 -1.247 2.606